[1]
{
  "formula": "Ho3As2N",
  "functional": "PBE-GGA",
  "state": "optimized geometry",
  "total_energy_ev_per_atom": -6.517,
  "lattice": [[5.3821, -3.8411, 0.0000], [5.3821, 3.8411, 0.0000], [0.0000, 0.0000, 6.3720]],
  "species": ["Ho", "Ho", "Ho", "Ho", "Ho", "Ho", "As", "As", "As", "As", "N", "N"],
  "fractional_positions": [[0.1313, 0.8687, 0.7500], [0.3468, 0.3468, 0.0000], [0.3468, 0.3468, 0.5000], [0.6532, 0.6532, 0.0000], [0.6532, 0.6532, 0.5000], [0.8687, 0.1313, 0.2500], [0.0185, 0.6604, 0.2500], [0.3396, 0.9815, 0.2500], [0.6604, 0.0185, 0.7500], [0.9815, 0.3396, 0.7500], [0.4207, 0.5793, 0.7500], [0.5793, 0.4207, 0.2500]]
}

***

[2]
{
  "formula": "Ho12As3N5",
  "functional": "PBE-GGA",
  "state": "optimized geometry",
  "total_energy_ev_per_atom": -6.640,
  "lattice": [[-7.5655, 7.5655, 7.5655], [7.5655, -7.5655, 7.5655], [7.5655, 7.5655, -7.5655]],
  "species": ["Ho", "Ho", "Ho", "Ho", "Ho", "Ho", "Ho", "Ho", "Ho", "Ho", "Ho", "Ho", "Ho", "Ho", "Ho", "Ho", "Ho", "Ho", "Ho", "Ho", "Ho", "Ho", "Ho", "Ho", "Ho", "Ho", "Ho", "Ho", "Ho", "Ho", "Ho", "Ho", "Ho", "Ho", "Ho", "Ho", "Ho", "Ho", "Ho", "Ho", "Ho", "Ho", "Ho", "Ho", "Ho", "Ho", "Ho", "Ho", "As", "As", "As", "As", "As", "As", "As", "As", "As", "As", "As", "As", "N", "N", "N", "N", "N", "N", "N", "N", "N", "N", "N", "N", "N", "N", "N", "N", "N", "N", "N", "N"],
  "fractional_positions": [[0.0182, 0.2023, 0.1146], [0.0182, 0.3159, 0.9037], [0.0878, 0.7023, 0.6841], [0.0878, 0.8854, 0.4037], [0.0963, 0.6146, 0.4122], [0.0963, 0.9818, 0.6841], [0.1146, 0.0182, 0.2023], [0.1146, 0.5963, 0.9122], [0.1841, 0.2023, 0.5878], [0.1841, 0.4818, 0.5963], [0.2023, 0.1146, 0.0182], [0.2023, 0.5878, 0.1841], [0.2977, 0.3159, 0.9122], [0.2977, 0.4818, 0.3854], [0.3159, 0.9037, 0.0182], [0.3159, 0.9122, 0.2977], [0.3854, 0.2977, 0.4818], [0.3854, 0.5878, 0.9037], [0.4037, 0.0878, 0.8854], [0.4037, 0.8159, 0.5182], [0.4122, 0.0963, 0.6146], [0.4122, 0.8159, 0.7977], [0.4818, 0.3854, 0.2977], [0.4818, 0.5963, 0.1841], [0.5182, 0.4037, 0.8159], [0.5182, 0.6146, 0.7023], [0.5878, 0.1841, 0.2023], [0.5878, 0.9037, 0.3854], [0.5963, 0.1841, 0.4818], [0.5963, 0.9122, 0.1146], [0.6146, 0.4122, 0.0963], [0.6146, 0.7023, 0.5182], [0.6841, 0.0878, 0.7023], [0.6841, 0.0963, 0.9818], [0.7023, 0.5182, 0.6146], [0.7023, 0.6841, 0.0878], [0.7977, 0.4122, 0.8159], [0.7977, 0.8854, 0.9818], [0.8159, 0.5182, 0.4037], [0.8159, 0.7977, 0.4122], [0.8854, 0.4037, 0.0878], [0.8854, 0.9818, 0.7977], [0.9037, 0.0182, 0.3159], [0.9037, 0.3854, 0.5878], [0.9122, 0.1146, 0.5963], [0.9122, 0.2977, 0.3159], [0.9818, 0.6841, 0.0963], [0.9818, 0.7977, 0.8854], [0.1250, 0.2500, 0.3750], [0.1250, 0.3750, 0.7500], [0.2500, 0.3750, 0.1250], [0.2500, 0.8750, 0.6250], [0.3750, 0.1250, 0.2500], [0.3750, 0.7500, 0.1250], [0.6250, 0.2500, 0.8750], [0.6250, 0.8750, 0.7500], [0.7500, 0.1250, 0.3750], [0.7500, 0.6250, 0.8750], [0.8750, 0.6250, 0.2500], [0.8750, 0.7500, 0.6250], [0.0000, 0.0000, 0.0000], [0.0000, 0.0000, 0.5000], [0.0000, 0.5000, 0.0000], [0.0000, 0.5000, 0.5000], [0.1250, 0.7500, 0.8750], [0.1250, 0.8750, 0.2500], [0.2500, 0.1250, 0.8750], [0.2500, 0.6250, 0.3750], [0.3750, 0.2500, 0.6250], [0.3750, 0.6250, 0.7500], [0.5000, 0.0000, 0.0000], [0.5000, 0.0000, 0.5000], [0.5000, 0.5000, 0.0000], [0.5000, 0.5000, 0.5000], [0.6250, 0.3750, 0.2500], [0.6250, 0.7500, 0.3750], [0.7500, 0.3750, 0.6250], [0.7500, 0.8750, 0.1250], [0.8750, 0.1250, 0.7500], [0.8750, 0.2500, 0.1250]]
}

***

[3]
{
  "formula": "Ho2AsN",
  "functional": "PBE-GGA",
  "state": "optimized geometry",
  "total_energy_ev_per_atom": -6.966,
  "lattice": [[1.8517, 1.0691, 6.3704], [-1.8517, 1.0691, 6.3704], [0.0000, -2.1382, 6.3704]],
  "species": ["Ho", "Ho", "As", "N"],
  "fractional_positions": [[0.2366, 0.2366, 0.2366], [0.7634, 0.7634, 0.7634], [0.0000, 0.0000, 0.0000], [0.5000, 0.5000, 0.5000]]
}